Density functional theory data (PBE-GGA) for ZrCd3Si after structural relaxation.

Relative energy among the computed polymorphs   0.576 eV per atom
E_form (uncorrected)   122.7 kJ per mole of atoms
Total DFT energy (no corrections)   -2.071 eV/atom
DOS(E_F)   1.01 states/eV per atom

Geometry as POSCAR:
```
ZrCd3Si
1.0
5.530 0.000 0.000
0.000 5.530 0.000
0.000 0.000 5.530
Zr Cd Si
1 3 1
Direct
0.000 0.000 0.000 Zr
0.000 0.000 0.500 Cd
0.000 0.500 0.000 Cd
0.500 0.000 0.000 Cd
0.500 0.500 0.500 Si
```